## Rb2InBi2 (PBE-GGA)

Data for crystalline Rb2InBi2 at its relaxed geometry.

Cell: 7.6274 7.6274 12.6005 Å, 117.48 117.48 40.93°
Element x y z (fractional)
1 Rb 0.0066 0.0066 0.1712
2 Rb 0.1792 0.1792 0.5992
3 Rb 0.8208 0.8208 0.4008
4 Rb 0.9934 0.9934 0.8288
5 In 0.2928 0.2928 0.1415
6 In 0.7072 0.7072 0.8585
7 Bi 0.3431 0.3431 0.9290
8 Bi 0.4877 0.4877 0.6156
9 Bi 0.5123 0.5123 0.3844
10 Bi 0.6569 0.6569 0.0710

Computed properties:
Crystal system: monoclinic
SG: C2/m
Polymorph energy (0 for the lowest one): 0.0 kJ per mole of atoms
Formation energy from the elements: -293 meV/atom

=====

## Cd2Cl (PBE-GGA)

Data for crystalline Cd2Cl at its relaxed geometry.

Cell: 4.0287 12.8813 5.8757 Å, 90.00 90.00 90.00°
Element x y z (fractional)
1 Cd 0.0000 0.0258 0.2500
2 Cd 0.0000 0.3658 0.2500
3 Cd 0.0000 0.6342 0.7500
4 Cd 0.0000 0.9742 0.7500
5 Cd 0.5000 0.1342 0.7500
6 Cd 0.5000 0.4742 0.7500
7 Cd 0.5000 0.5258 0.2500
8 Cd 0.5000 0.8658 0.2500
9 Cl 0.0000 0.2938 0.7500
10 Cl 0.0000 0.7062 0.2500
11 Cl 0.5000 0.2062 0.2500
12 Cl 0.5000 0.7938 0.7500

Computed properties:
Crystal system: orthorhombic
SG: Cmcm
Formation energy (no corrections): -348 meV/atom

=====

## Li3Sm3SbS8 (PBE-GGA)

Data for crystalline Li3Sm3SbS8 at its relaxed geometry.

Cell: 7.6979 7.6979 7.6979 Å, 62.41 62.41 62.41°
Element x y z (fractional)
1 Li 0.0000 0.5000 0.5000
2 Li 0.5000 0.0000 0.5000
3 Li 0.5000 0.5000 0.0000
4 Sm 0.0000 0.0000 0.5000
5 Sm 0.0000 0.5000 0.0000
6 Sm 0.5000 0.0000 0.0000
7 Sb 0.5000 0.5000 0.5000
8 S 0.2510 0.2510 0.2510
9 S 0.2614 0.2614 0.7314
10 S 0.2614 0.7314 0.2614
11 S 0.2686 0.7386 0.7386
12 S 0.7314 0.2614 0.2614
13 S 0.7386 0.2686 0.7386
14 S 0.7386 0.7386 0.2686
15 S 0.7490 0.7490 0.7490

Computed properties:
Crystal system: trigonal
SG: R-3m
Formation energy (no corrections): -1466 meV/atom

=====

## InPb2Br2 (PBE-GGA)

Data for crystalline InPb2Br2 at its relaxed geometry.

Cell: 8.1283 8.1283 5.0602 Å, 90.00 90.00 90.00°
Element x y z (fractional)
1 In 0.0000 0.0000 0.0000
2 In 0.5000 0.5000 0.0000
3 Pb 0.1511 0.3489 0.0000
4 Pb 0.3489 0.8489 0.0000
5 Pb 0.6511 0.1511 0.0000
6 Pb 0.8489 0.6511 0.0000
7 Br 0.1958 0.6958 0.5000
8 Br 0.3042 0.1958 0.5000
9 Br 0.6958 0.8042 0.5000
10 Br 0.8042 0.3042 0.5000

Computed properties:
Crystal system: tetragonal
SG: P4/mbm
Polymorph energy (0 for the lowest one): 0.0 kJ per mole of atoms
Formation energy (no corrections): -298 meV/atom

=====

## TlCrP2 (PBE-GGA)

Data for crystalline TlCrP2 at its relaxed geometry.

Cell: 5.6460 7.4544 3.9401 Å, 90.00 111.98 90.00°
Element x y z (fractional)
1 Tl 0.0000 0.0000 0.0000
2 Tl 0.5000 0.5000 0.0000
3 Cr 0.0000 0.5000 0.0000
4 Cr 0.5000 0.0000 0.0000
5 P 0.2500 0.2500 0.5000
6 P 0.2500 0.7500 0.5000
7 P 0.7500 0.2500 0.5000
8 P 0.7500 0.7500 0.5000

Computed properties:
Crystal system: monoclinic
SG: C2/m
Polymorph energy (0 for the lowest one): 51.2 kJ per mole of atoms
Formation energy from the elements: 549 meV/atom

=====

## Re2MoP (PBE-GGA)

Data for crystalline Re2MoP at its relaxed geometry.

Cell: 2.9507 4.4282 8.7191 Å, 90.00 90.00 90.00°
Element x y z (fractional)
1 Re 0.0000 0.0000 0.0000
2 Re 0.0000 0.5000 0.2284
3 Re 0.5000 0.0000 0.7284
4 Re 0.5000 0.5000 0.5000
5 Mo 0.0000 0.0000 0.4437
6 Mo 0.5000 0.5000 0.9437
7 P 0.0000 0.5000 0.7200
8 P 0.5000 0.0000 0.2200

Computed properties:
Crystal system: orthorhombic
SG: Imm2
Formation energy from the elements: -65 meV/atom

=====

Number 1: ρ 5.592 g/cm³. Number 2: ρ 5.670 g/cm³. Number 3: ρ 4.154 g/cm³. Number 4: ρ 6.845 g/cm³. Number 5: ρ 6.875 g/cm³. Number 6: ρ 14.556 g/cm³.